[1]
This record from Alexandria via LeMat-Bulk describes LaBeRe2 after structural relaxation. The functional is PBE-GGA.

a b c (Å): 4.5863 4.5863 16.7068
angles (deg): 90.00 90.00 90.00
Space group I-42d (No. 122)
One atom of each set of equivalent atoms:
La (0.0000, 0.0000, 0.0000)
Be (0.0000, 0.0000, 0.5000)
Re (0.0678, 0.7500, 0.6250)

Values from the calculation:
- Raw total energy: -7.7171 eV/atom
- Formation energy from the elements: 0.67 eV per atom

=====

[2]
This record from Alexandria via LeMat-Bulk describes LiSm3U3N8 after structural relaxation. The functional is PBE-GGA.

a b c (Å): 6.8597 6.8597 16.6976
angles (deg): 90.00 90.00 120.00
Space group R-3m (No. 166, hexagonal axes)
One atom of each set of equivalent atoms:
Li (0.0000, 0.0000, 0.0000)
Sm (0.0000, 0.5000, 0.5000)
U (0.0000, 0.5000, 0.0000)
N (0.0000, 0.0000, 0.2594)
N (0.0172, 0.5086, 0.2662)

Values from the calculation:
- Raw total energy: -8.9048 eV/atom
- Formation energy from raw total energies: -1136 meV/atom